Entry from Alexandria via LeMat-Bulk: a geometry-optimized SrCoF structure (PBE+U).

Values from the calculation:
Density of states at the Fermi level   4.8 states/eV/cell
Calculated volume   21.39 Å³ per atom
Space group   Pnma
E above lowest polymorph   0.2708 eV per atom
Total magnetization   7.63 μB per cell

Cell and atoms, written as extended XYZ:
```
12
Lattice="-9.215 -11.031 -7.502 1.442 -3.336 3.133 -2.527 0.766 1.978" Properties=species:S:1:pos:R:3 pbc="T T T"
Sr -7.595 -6.567 -1.659
Sr -8.574 -12.166 -3.495
Sr -2.705 -7.033 -0.732
Sr -1.725 -1.434 1.104
Co -2.043 -3.686 -1.147
Co -2.419 -4.772 1.544
Co -8.256 -9.915 -1.244
Co -7.881 -8.829 -3.935
F 0.000 0.000 0.000
F -5.150 -6.800 -1.196
F -5.871 -5.133 -2.762
F 0.721 -1.668 1.567
```